Entry 1:
DFT (PBE) results for crystalline SrTlGa2 at its relaxed geometry.

**DFT total energy**: -0.0993 Ha/atom
**M_tot**: 0.00 μB per formula unit
**Energy of formation from the pure elements**: -0.18 eV/atom

Lattice parameters (Å, degrees): 5.294 5.294 5.294 60.00 60.00 60.00
Element x y z (fractional)
Ga1 0.750 0.750 0.750
Tl1 0.500 0.500 0.500
Sr1 0.000 0.000 0.000
Ga2 0.250 0.250 0.250

---

Entry 2:
DFT (PBE) results for crystalline CoRuCl3 at its relaxed geometry.

**Energy relative to the elements, uncorrected**: 0.04 eV per atom
**DFT total energy**: -0.1598 Ha/atom
**M_tot**: 4.09 μB per formula unit

Lattice parameters (Å, degrees): 5.538 5.538 5.538 86.32 86.32 86.32
Site moments in Bohr magnetons follow the coordinates.
Element x y z (fractional)
Co1 0.577 0.577 0.577  1.91
Ru1 0.799 0.799 0.799  1.65
Cl1 0.183 0.658 0.658  0.07
Cl2 0.658 0.183 0.658  0.08
Cl3 0.658 0.658 0.183  0.10

---

Entry 3:
DFT (PBE) results for crystalline Ho2Tm8Tc at its relaxed geometry.

**DFT total energy**: -0.1845 Ha/atom
**M_tot**: 0.00 μB per formula unit
**Energy of formation from the pure elements**: 0.01 eV/atom

Lattice parameters (Å, degrees): 5.385 6.312 9.620 92.16 106.25 90.00
Element x y z (fractional)
Ho1 0.760 0.668 0.519
Tm1 0.040 0.241 0.080
Tm2 0.351 0.862 0.702
Tm3 0.960 0.759 0.920
Tm4 0.649 0.138 0.298
Tc1 0.500 0.000 0.000
Ho2 0.240 0.332 0.481
Tm5 0.843 0.178 0.685
Tm6 0.574 0.633 0.148
Tm7 0.426 0.367 0.852
Tm8 0.157 0.822 0.315